Record 1
{"formula": "NpAgSb", "functional": "PBE", "state": "optimized geometry", "crystal_system": "tetragonal", "lattice": [[-2.2101, 1.3545, 3.0633], [2.8991, -1.0646, 2.5623], [1.5915, 4.0376, -3.2655]], "species": ["Sb", "Ag", "Np"], "frac_coords": [[0.6714, 0.6714, 0.3429], [0.9995, 0.9995, 0.9989], [0.3291, 0.3291, 0.6582]]}


Record 2
{"formula": "Np2AgSb4", "functional": "PBE", "state": "optimized geometry", "crystal_system": "tetragonal", "lattice": [[-1.0522, 0.3767, -4.2065], [4.2046, -0.3151, -1.0799], [-0.8954, -9.7298, -0.6473]], "species": ["Ag", "Sb", "Sb", "Sb", "Sb", "Np", "Np"], "frac_coords": [[0.5000, 0.5000, 0.0000], [0.5000, 0.0000, 0.1785], [0.0000, 0.0000, 0.5000], [0.0000, 0.5000, 0.8214], [0.5000, 0.5000, 0.5000], [0.0000, 0.5000, 0.2514], [0.5000, 0.0000, 0.7486]]}


Record 3
{"formula": "NpAgSb", "functional": "PBE", "state": "optimized geometry", "crystal_system": "trigonal", "lattice": [[3.4869, 0.0000, 0.0000], [1.7434, 3.0197, 0.0000], [1.7434, 1.0066, 13.0556]], "species": ["Ag", "Ag", "Sb", "Sb", "Np", "Np"], "frac_coords": [[0.1401, 0.1401, 0.5797], [0.8599, 0.8599, 0.4203], [0.5840, 0.5840, 0.2480], [0.4160, 0.4160, 0.7520], [0.3164, 0.3164, 0.0508], [0.6836, 0.6836, 0.9492]]}


Record 4
{"formula": "NpAg4Sb", "functional": "PBE", "state": "optimized geometry", "crystal_system": "cubic", "lattice": [[5.6686, 0.0000, 0.0000], [2.8343, 4.9091, 0.0000], [2.8343, 1.6364, 4.6284]], "species": ["Ag", "Ag", "Ag", "Ag", "Np", "Sb"], "frac_coords": [[0.6246, 0.6246, 0.1261], [0.6246, 0.6246, 0.6246], [0.6246, 0.1261, 0.6246], [0.1261, 0.6246, 0.6246], [0.2500, 0.2500, 0.2500], [0.0000, 0.0000, 0.0000]]}


Record 5
{"formula": "NpAgSb", "functional": "PBE", "state": "optimized geometry", "crystal_system": "hexagonal", "lattice": [[-0.7901, -2.8254, 1.1429], [4.3734, -0.1890, 2.5563], [-4.1138, 2.0248, 2.1617]], "species": ["Ag", "Sb", "Np"], "frac_coords": [[0.8329, 0.0000, 0.0000], [0.8337, 0.6667, 0.3333], [0.3334, 0.3333, 0.6667]]}


Record 6
{"formula": "NpAgSnSb", "functional": "PBE", "state": "optimized geometry", "crystal_system": "cubic", "lattice": [[5.1729, 0.0000, 0.0000], [2.5864, 4.4798, 0.0000], [2.5864, 1.4933, 4.2236]], "species": ["Sb", "Np", "Ag", "Sn"], "frac_coords": [[0.7500, 0.7500, 0.7500], [0.0000, 0.0000, 0.0000], [0.5000, 0.5000, 0.5000], [0.2500, 0.2500, 0.2500]]}


Here are the calculated ΔE_f (raw) numbers, same order: 167 -187 104 135 21 111 (meV/atom).
Here are the calculated DOS at the Fermi energy numbers, same order: 3.77 3.10 1.10 2.58 3.06 3.36 (states/eV/atom).
Here are the calculated ρ numbers, same order: 10.39 9.57 11.27 10.19 11.06 9.93 (g/cm³).